Record 1
Computed, not measured: an optimized crystal structure of CdBr2O at the PBE-GGA level of DFT.

Computed properties:
As for the total energy: -17.4 eV per cell. The value obtained for the polymorph energy (0 for the lowest one) is 0.000 eV/atom. As for the space group: I-42d. For the spin magnetization, the calculation gives 2.000 μB/f.u.

Cell: 8.052 8.052 8.052 Å, 136.80 136.80 62.75°
Atoms (fractional coordinates):
Cd1 0.000 0.000 0.000
Cd2 0.750 0.250 0.500
Br1 0.117 0.625 0.992
Br2 0.375 0.367 0.492
Br3 0.633 0.125 0.008
Br4 0.875 0.883 0.508
O1 0.250 0.750 0.500
O2 0.500 0.500 0.000

Record 2
Computed, not measured: an optimized crystal structure of CdBr3O at the PBE-GGA level of DFT.

Computed properties:
As for the total energy: -9.5 eV per cell. The value obtained for the polymorph energy (0 for the lowest one) is 0.000 eV/atom. As for the space group: Pm-3m. For the spin magnetization, the calculation gives 0.000 μB/f.u.

Cell: 4.819 4.819 4.819 Å, 90.00 90.00 90.00°
Atoms (fractional coordinates):
Cd1 0.000 0.000 0.000
Br1 0.000 0.500 0.500
Br2 0.500 0.000 0.500
Br3 0.500 0.500 0.000
O1 0.500 0.500 0.500

Record 3
Computed, not measured: an optimized crystal structure of CdBrO3 at the PBE-GGA level of DFT.

Computed properties:
As for the total energy: -36.5 eV per cell. As for the space group: P2/m. For the spin magnetization, the calculation gives 0.000 μB/f.u.

Cell: 6.718 3.242 7.097 Å, 90.00 102.05 90.00°
Atoms (fractional coordinates):
Cd1 0.207 0.000 0.279
Cd2 0.793 0.000 0.721
Br1 0.311 0.500 0.791
Br2 0.689 0.500 0.209
O1 0.038 0.500 0.793
O2 0.290 0.500 0.542
O3 0.379 0.500 0.158
O4 0.621 0.500 0.842
O5 0.710 0.500 0.458
O6 0.962 0.500 0.207

Record 4
Computed, not measured: an optimized crystal structure of Cd2BrO2 at the PBE-GGA level of DFT.

Computed properties:
As for the total energy: -16.8 eV per cell. As for the space group: C2/m. For the spin magnetization, the calculation gives 1.024 μB/f.u.

Cell: 4.166 4.166 7.194 Å, 100.67 100.67 90.27°
Atoms (fractional coordinates):
Cd1 0.210 0.210 0.377
Cd2 0.790 0.790 0.623
Br1 0.000 0.000 0.000
O1 0.253 0.747 0.500
O2 0.747 0.253 0.500

Record 5
Computed, not measured: an optimized crystal structure of CdBr2O4 at the PBE-GGA level of DFT.

Computed properties:
As for the total energy: -49.6 eV per cell. The value obtained for the polymorph energy (0 for the lowest one) is 0.003 eV/atom. As for the space group: P2_1/c. For the spin magnetization, the calculation gives 0.000 μB/f.u.

Cell: 3.714 9.549 7.648 Å, 90.00 116.91 90.00°
Atoms (fractional coordinates):
Cd1 0.000 0.000 0.000
Cd2 0.000 0.500 0.500
Br1 0.434 0.183 0.495
Br2 0.434 0.317 0.995
Br3 0.566 0.683 0.005
Br4 0.566 0.817 0.505
O1 0.422 0.141 0.915
O2 0.422 0.359 0.415
O3 0.455 0.082 0.309
O4 0.455 0.418 0.809
O5 0.545 0.582 0.191
O6 0.545 0.918 0.691
O7 0.578 0.641 0.585
O8 0.578 0.859 0.085

Record 6
Computed, not measured: an optimized crystal structure of CdOsBrO4 at the PBE-GGA level of DFT.

Computed properties:
As for the total energy: -79.3 eV per cell. As for the space group: C2/m. For the spin magnetization, the calculation gives 0.000 μB/f.u.

Cell: 6.210 6.210 8.361 Å, 97.92 97.92 77.57°
Atoms (fractional coordinates):
Cd1 0.191 0.191 0.051
Cd2 0.809 0.809 0.949
Os1 0.395 0.395 0.766
Os2 0.605 0.605 0.234
Br1 0.001 0.001 0.240
Br2 0.999 0.999 0.760
O1 0.168 0.499 0.884
O2 0.303 0.303 0.571
O3 0.421 0.421 0.214
O4 0.499 0.168 0.884
O5 0.501 0.832 0.116
O6 0.579 0.579 0.786
O7 0.697 0.697 0.429
O8 0.832 0.501 0.116

Record 7
Computed, not measured: an optimized crystal structure of CdPbBr2O at the PBE-GGA level of DFT.

Computed properties:
As for the total energy: -34.8 eV per cell. The value obtained for the polymorph energy (0 for the lowest one) is 0.000 eV/atom. As for the space group: Cmcm. For the spin magnetization, the calculation gives 0.000 μB/f.u.

Cell: 7.521 7.521 9.336 Å, 90.00 90.00 150.23°
Atoms (fractional coordinates):
Cd1 0.000 0.000 0.000
Cd2 0.000 0.000 0.500
Pb1 0.340 0.660 0.750
Pb2 0.660 0.340 0.250
Br1 0.370 0.630 0.068
Br2 0.370 0.630 0.432
Br3 0.630 0.370 0.568
Br4 0.630 0.370 0.932
O1 0.066 0.934 0.250
O2 0.934 0.066 0.750

Record 8
Computed, not measured: an optimized crystal structure of CdPbBr2O at the PBE-GGA level of DFT.

Computed properties:
As for the total energy: -15.2 eV per cell. The value obtained for the polymorph energy (0 for the lowest one) is 0.447 eV/atom. As for the space group: P4/mmm. For the spin magnetization, the calculation gives 0.181 μB/f.u.

Cell: 5.682 5.682 4.104 Å, 90.00 90.00 90.00°
Atoms (fractional coordinates):
Cd1 0.000 0.000 0.000
Pb1 0.500 0.500 0.500
Br1 0.000 0.500 0.000
Br2 0.500 0.000 0.000
O1 0.000 0.000 0.500

Record 9
Computed, not measured: an optimized crystal structure of PuCd2BrO4 at the PBE-GGA level of DFT.

Computed properties:
As for the total energy: -50.6 eV per cell. As for the space group: C2/m. For the spin magnetization, the calculation gives 3.000 μB/f.u.

Cell: 5.576 5.576 9.333 Å, 113.53 113.53 35.51°
Atoms (fractional coordinates):
Pu1 0.000 0.000 0.000
Cd1 0.159 0.159 0.764
Cd2 0.841 0.841 0.236
Br1 0.500 0.500 0.500
O1 0.189 0.189 0.184
O2 0.432 0.432 0.105
O3 0.568 0.568 0.895
O4 0.811 0.811 0.816

Record 10
Computed, not measured: an optimized crystal structure of Rb2CdBr6O at the PBE-GGA level of DFT.

Computed properties:
As for the total energy: -25.0 eV per cell. As for the space group: I4/mmm. For the spin magnetization, the calculation gives 0.000 μB/f.u.

Cell: 7.868 7.868 7.868 Å, 124.04 124.04 83.13°
Atoms (fractional coordinates):
Rb1 0.250 0.750 0.500
Rb2 0.750 0.250 0.500
Cd1 0.000 0.000 0.000
Br1 0.218 0.218 0.000
Br2 0.280 0.280 0.560
Br3 0.280 0.720 0.000
Br4 0.720 0.280 0.000
Br5 0.720 0.720 0.440
Br6 0.782 0.782 0.000
O1 0.500 0.500 0.000

Record 11
Computed, not measured: an optimized crystal structure of Rb5CdBrO2 at the PBE-GGA level of DFT.

Computed properties:
As for the total energy: -25.9 eV per cell. As for the space group: P4/mmm. For the spin magnetization, the calculation gives 0.000 μB/f.u.

Cell: 5.820 5.820 9.924 Å, 90.00 90.00 90.00°
Atoms (fractional coordinates):
Rb1 0.000 0.000 0.000
Rb2 0.000 0.500 0.274
Rb3 0.000 0.500 0.726
Rb4 0.500 0.000 0.274
Rb5 0.500 0.000 0.726
Cd1 0.000 0.000 0.500
Br1 0.500 0.500 0.000
O1 0.000 0.000 0.284
O2 0.000 0.000 0.716

Record 12
Computed, not measured: an optimized crystal structure of CdReBrO4 at the PBE-GGA level of DFT.

Computed properties:
As for the total energy: -89.4 eV per cell. As for the space group: C2/m. For the spin magnetization, the calculation gives 0.000 μB/f.u.

Cell: 6.156 6.156 9.961 Å, 111.84 111.84 75.36°
Atoms (fractional coordinates):
Cd1 0.039 0.039 0.201
Cd2 0.961 0.961 0.799
Re1 0.293 0.293 0.659
Re2 0.707 0.707 0.341
Br1 0.221 0.221 0.067
Br2 0.779 0.779 0.933
O1 0.128 0.128 0.686
O2 0.218 0.596 0.741
O3 0.234 0.234 0.463
O4 0.404 0.782 0.259
O5 0.596 0.218 0.741
O6 0.766 0.766 0.537
O7 0.782 0.404 0.259
O8 0.872 0.872 0.314

Record 13
Computed, not measured: an optimized crystal structure of Cd2ReBrO at the PBE-GGA level of DFT.

Computed properties:
As for the total energy: -19.5 eV per cell. As for the space group: P4/mmm. For the spin magnetization, the calculation gives 1.600 μB/f.u.

Cell: 5.516 5.516 3.735 Å, 90.00 90.00 90.00°
Atoms (fractional coordinates):
Cd1 0.000 0.500 0.000
Cd2 0.500 0.000 0.000
Re1 0.000 0.000 0.500
Br1 0.500 0.500 0.500
O1 0.000 0.000 0.000

Record 14
Computed, not measured: an optimized crystal structure of CdReBr2O at the PBE-GGA level of DFT.

Computed properties:
As for the total energy: -16.9 eV per cell. As for the space group: P4/mmm. For the spin magnetization, the calculation gives 0.000 μB/f.u.

Cell: 4.768 4.768 5.628 Å, 90.00 90.00 90.00°
Atoms (fractional coordinates):
Cd1 0.000 0.000 0.000
Re1 0.000 0.000 0.500
Br1 0.000 0.500 0.500
Br2 0.500 0.000 0.500
O1 0.500 0.500 0.000

Record 15
Computed, not measured: an optimized crystal structure of CdSBrO4 at the PBE-GGA level of DFT.

Computed properties:
As for the total energy: -68.0 eV per cell. As for the space group: C2/m. For the spin magnetization, the calculation gives 0.000 μB/f.u.

Cell: 6.559 6.559 6.415 Å, 100.28 100.28 56.03°
Atoms (fractional coordinates):
Cd1 0.191 0.191 0.309
Cd2 0.809 0.809 0.691
S1 0.141 0.141 0.755
S2 0.859 0.859 0.245
Br1 0.468 0.468 0.819
Br2 0.532 0.532 0.181
O1 0.015 0.015 0.755
O2 0.020 0.632 0.368
O3 0.213 0.213 0.974
O4 0.368 0.980 0.632
O5 0.632 0.020 0.368
O6 0.787 0.787 0.026
O7 0.980 0.368 0.632
O8 0.985 0.985 0.245

Record 16
Computed, not measured: an optimized crystal structure of Cd2Se2BrO6 at the PBE-GGA level of DFT.

Computed properties:
As for the total energy: -48.6 eV per cell. As for the space group: P-1. For the spin magnetization, the calculation gives 1.004 μB/f.u.

Cell: 5.548 5.892 7.994 Å, 68.98 82.52 62.20°
Atoms (fractional coordinates):
Cd1 0.059 0.265 0.349
Cd2 0.941 0.735 0.651
Se1 0.265 0.011 0.830
Se2 0.735 0.989 0.170
Br1 0.500 0.500 0.500
O1 0.060 0.328 0.844
O2 0.135 0.013 0.642
O3 0.431 0.978 0.242
O4 0.569 0.022 0.758
O5 0.865 0.987 0.358
O6 0.940 0.672 0.156

Record 17
Computed, not measured: an optimized crystal structure of CdSeBrO4 at the PBE-GGA level of DFT.

Computed properties:
As for the total energy: -60.7 eV per cell. As for the space group: C2/m. For the spin magnetization, the calculation gives 0.000 μB/f.u.

Cell: 6.755 6.755 6.626 Å, 101.56 101.56 56.30°
Atoms (fractional coordinates):
Cd1 0.199 0.199 0.321
Cd2 0.801 0.801 0.679
Se1 0.139 0.139 0.760
Se2 0.861 0.861 0.240
Br1 0.472 0.472 0.822
Br2 0.528 0.528 0.178
O1 0.002 0.002 0.767
O2 0.031 0.622 0.382
O3 0.224 0.224 0.998
O4 0.378 0.969 0.618
O5 0.622 0.031 0.382
O6 0.776 0.776 0.002
O7 0.969 0.378 0.618
O8 0.998 0.998 0.233

Record 18
Computed, not measured: an optimized crystal structure of CdSnBrO2 at the PBE-GGA level of DFT.

Computed properties:
As for the total energy: -42.8 eV per cell. As for the space group: Cmcm. For the spin magnetization, the calculation gives 0.000 μB/f.u.

Cell: 6.480 6.480 5.586 Å, 90.00 90.00 128.38°
Atoms (fractional coordinates):
Cd1 0.096 0.904 0.750
Cd2 0.904 0.096 0.250
Sn1 0.421 0.579 0.750
Sn2 0.579 0.421 0.250
Br1 0.248 0.752 0.250
Br2 0.752 0.248 0.750
O1 0.265 0.265 0.000
O2 0.265 0.265 0.500
O3 0.735 0.735 0.000
O4 0.735 0.735 0.500

Record 19
Computed, not measured: an optimized crystal structure of Sr2CdBr2O2 at the PBE-GGA level of DFT.

Computed properties:
As for the total energy: -31.2 eV per cell. As for the space group: I4/mmm. For the spin magnetization, the calculation gives 0.000 μB/f.u.

Cell: 8.699 8.699 8.699 Å, 150.74 150.74 41.86°
Atoms (fractional coordinates):
Sr1 0.101 0.101 0.000
Sr2 0.899 0.899 0.000
Cd1 0.500 0.500 0.000
Br1 0.316 0.316 0.000
Br2 0.684 0.684 0.000
O1 0.000 0.500 0.500
O2 0.500 0.000 0.500

Record 20
Computed, not measured: an optimized crystal structure of SrCdBr2O at the PBE-GGA level of DFT.

Computed properties:
As for the total energy: -37.0 eV per cell. As for the space group: Cmcm. For the spin magnetization, the calculation gives 0.027 μB/f.u.

Cell: 6.868 6.868 9.222 Å, 90.00 90.00 145.00°
Atoms (fractional coordinates):
Sr1 0.164 0.836 0.750
Sr2 0.836 0.164 0.250
Cd1 0.500 0.500 0.000
Cd2 0.500 0.500 0.500
Br1 0.142 0.858 0.072
Br2 0.142 0.858 0.428
Br3 0.858 0.142 0.572
Br4 0.858 0.142 0.928
O1 0.431 0.569 0.250
O2 0.569 0.431 0.750